[1]
4
Lattice="2.954 0.000 0.000 0.000 2.954 0.000 0.000 0.000 7.987" Properties=species:S:1:pos:R:3 comment="LaCu2W | Alexandria | PBE-GGA | relaxed" relative_energy_mev_per_atom=0 space_group="No. 123" ef_kj_per_mol_atoms=35 pbc="T T T"
La 0.000 0.000 0.000
Cu 1.477 1.477 2.343
Cu 1.477 1.477 5.644
W 0.000 0.000 3.993



[2]
10
Lattice="4.011 0.000 0.000 0.000 4.011 0.000 0.000 0.000 11.051" Properties=species:S:1:pos:R:3 comment="LiU2Ge3Ir4 | Alexandria | PBE-GGA | relaxed" space_group="No. 115" ef_kj_per_mol_atoms=-44 pbc="T T T"
Li 0.000 0.000 0.000
U 0.000 2.006 8.361
U 2.006 0.000 2.691
Ge 0.000 2.006 4.113
Ge 2.006 0.000 6.938
Ge 2.006 2.006 0.000
Ir 0.000 0.000 5.526
Ir 0.000 2.006 1.692
Ir 2.006 0.000 9.360
Ir 2.006 2.006 5.526



[3]
8
Lattice="-3.699 3.699 2.677 3.699 -3.699 2.677 3.699 3.699 -2.677" Properties=species:S:1:pos:R:3 comment="NaNbRe2 | Alexandria | PBE-GGA | relaxed" relative_energy_mev_per_atom=467 space_group="No. 122" ef_kj_per_mol_atoms=130 pbc="T T T"
Na 0.000 0.000 0.000
Na 0.000 3.699 1.339
Nb 3.699 0.000 1.339
Nb 0.000 0.000 2.677
Re 1.850 -1.685 2.008
Re 2.014 1.850 0.669
Re 1.850 5.384 -0.669
Re 1.685 1.850 3.347



[4]
5
Lattice="-2.016 2.016 6.644 2.016 -2.016 6.644 2.016 2.016 -6.644" Properties=species:S:1:pos:R:3 comment="LiCeMgAu2 | Alexandria | PBE-GGA | relaxed" space_group="No. 119" ef_kj_per_mol_atoms=-54 pbc="T T T"
Li 0.000 0.000 0.000
Ce 0.000 2.016 3.322
Mg 0.000 0.000 6.644
Au 2.016 0.000 1.883
Au 2.016 0.000 4.760



[5]
4
Lattice="3.650 0.000 0.000 0.000 3.650 0.000 0.000 0.000 4.943" Properties=species:S:1:pos:R:3 comment="Pu2MgSi | Alexandria | PBE-GGA | relaxed" formation_energy_uncorrected_mev_per_atom=276.5 space_group="No. 123" pbc="T T T"
Pu 0.000 1.825 0.000
Pu 1.825 0.000 0.000
Mg 0.000 0.000 2.472
Si 1.825 1.825 2.472



[6]
4
Lattice="3.105 0.000 0.000 0.000 3.105 0.000 0.000 0.000 10.305" Properties=species:S:1:pos:R:3 comment="LiCa2Mo | Alexandria | PBE-GGA | relaxed" relative_energy_mev_per_atom=0 space_group="No. 123" ef_kj_per_mol_atoms=55 pbc="T T T"
Li 0.000 0.000 0.000
Ca 1.553 1.553 2.827
Ca 1.553 1.553 7.479
Mo 0.000 0.000 5.153